First-principles (PBE) data for a geometry-optimized PaRe2Tc structure, as listed in Alexandria.

Cell lengths 3.8289, 3.8289, 4.8151 Å; angles 90.00, 90.00, 90.00 degrees
Fractional positions:
Pa  0.0000  0.0000  0.0000
Re  0.0000  0.5000  0.5000
Re  0.5000  0.0000  0.5000
Tc  0.5000  0.5000  0.0000

calculated volume	17.6	A^3/atom
space-group type	No. 123
formation energy from the elements	199	meV per atom
relative energy among the computed polymorphs	0.0000	eV per atom

First-principles (PBE) data for a geometry-optimized CoRu2Pt structure, as listed in Alexandria.

Cell lengths 4.6736, 4.6736, 4.6736 Å; angles 132.40, 132.40, 69.60 degrees
Fractional positions:
Co  0.0000  0.0000  0.0000
Ru  0.2500  0.7500  0.5000
Ru  0.7500  0.2500  0.5000
Pt  0.5000  0.5000  0.0000

calculated volume	13.7	A^3/atom
space-group type	No. 139
formation energy from the elements	103	meV per atom
relative energy among the computed polymorphs	0.0540	eV per atom

First-principles (PBE) data for a geometry-optimized KLiSe2 structure, as listed in Alexandria.

Cell lengths 3.3269, 3.3269, 9.1991 Å; angles 90.00, 90.00, 90.00 degrees
Fractional positions:
K  0.0000  0.0000  0.0000
Li  0.5000  0.5000  0.4819
Se  0.0000  0.0000  0.3402
Se  0.5000  0.5000  0.7600

calculated volume	25.5	A^3/atom
space-group type	No. 99
energy relative to the elements, uncorrected	-0.593	eV per atom